This record from the Alexandria database describes AcNd2In2 after structural relaxation. The functional is GGA-PBE.

Summary:
formation enthalpy at 0 K: -256.0 meV per atom
E_tot: -20.40 eV/f.u.
Fermi-level density of states: 13.5 states/eV/cell

Structure (CIF):
```
data_AcNd2In2
_chemical_formula_sum 'Ac2 Nd4 In4'
_space_group_name_H-M_alt 'C m m m'
_space_group_IT_number 65
_space_group_name_Hall '-C 2 2'
_cell_length_a 3.6366
_cell_length_b 24.7187
_cell_length_c 3.6830
_cell_angle_alpha 90.00
_cell_angle_beta 90.00
_cell_angle_gamma 90.00
loop_
_atom_site_label
_atom_site_fract_x
_atom_site_fract_y
_atom_site_fract_z
_atom_site_occupancy
Ac1 0.0000 0.0000 0.0000 1
Nd1 0.0000 0.1842 0.0000 1
In1 0.0000 0.4006 0.5000 1
```

---

This record from the Alexandria database describes Ac4NdIn after structural relaxation. The functional is GGA-PBE.

Summary:
formation enthalpy at 0 K: 315.6 meV per atom
E_tot: -22.05 eV/f.u.
Fermi-level density of states: 31.1 states/eV/cell

Structure (CIF):
```
data_Ac4NdIn
_chemical_formula_sum 'Ac16 Nd4 In4'
_space_group_name_H-M_alt 'F -4 3 m'
_space_group_IT_number 216
_space_group_name_Hall 'F -4 2 3'
_cell_length_a 10.0841
_cell_length_b 10.0841
_cell_length_c 10.0841
_cell_angle_alpha 90.00
_cell_angle_beta 90.00
_cell_angle_gamma 90.00
loop_
_atom_site_label
_atom_site_fract_x
_atom_site_fract_y
_atom_site_fract_z
_atom_site_occupancy
Ac1 0.1248 0.1248 0.1248 1
Nd1 0.0000 0.0000 0.5000 1
In1 0.2500 0.2500 0.7500 1
```

---

This record from the Alexandria database describes AcNd12In6 after structural relaxation. The functional is GGA-PBE.

Summary:
formation enthalpy at 0 K: -215.3 meV per atom
E_tot: -81.84 eV/f.u.
Fermi-level density of states: 57.4 states/eV/cell

Structure (CIF):
```
data_AcNd12In6
_chemical_formula_sum 'Ac3 Nd36 In18'
_space_group_name_H-M_alt 'R -3'
_space_group_IT_number 148
_space_group_name_Hall '-R 3'
_cell_length_a 11.8808
_cell_length_b 11.8808
_cell_length_c 14.9723
_cell_angle_alpha 90.00
_cell_angle_beta 90.00
_cell_angle_gamma 120.00
loop_
_atom_site_label
_atom_site_fract_x
_atom_site_fract_y
_atom_site_fract_z
_atom_site_occupancy
Ac1 0.0000 0.0000 0.0000 1
Nd1 0.0577 0.2181 0.4107 1
Nd2 0.0760 0.8837 0.8008 1
In1 0.0227 0.5933 0.7168 1
```

---

This record from the Alexandria database describes AcNd2In2 after structural relaxation. The functional is GGA-PBE.

Summary:
formation enthalpy at 0 K: -301.8 meV per atom
E_tot: -20.63 eV/f.u.
Fermi-level density of states: 8.5 states/eV/cell

Structure (CIF):
```
data_AcNd2In2
_chemical_formula_sum 'Ac2 Nd4 In4'
_space_group_name_H-M_alt 'P 1 21/m 1'
_space_group_IT_number 11
_space_group_name_Hall '-P 2yb'
_cell_length_a 7.2350
_cell_length_b 5.3297
_cell_length_c 9.4090
_cell_angle_alpha 90.00
_cell_angle_beta 112.54
_cell_angle_gamma 90.00
loop_
_atom_site_label
_atom_site_fract_x
_atom_site_fract_y
_atom_site_fract_z
_atom_site_occupancy
Ac1 0.0922 0.2500 0.1828 1
Nd1 0.2689 0.7500 0.5385 1
Nd2 0.4522 0.7500 0.9065 1
In1 0.1647 0.2500 0.7441 1
In2 0.4220 0.7500 0.2568 1
```

---

This record from the Alexandria database describes AcNd3In3 after structural relaxation. The functional is GGA-PBE.

Summary:
formation enthalpy at 0 K: -348.3 meV per atom
E_tot: -29.07 eV/f.u.
Fermi-level density of states: 13.5 states/eV/cell

Structure (CIF):
```
data_AcNd3In3
_chemical_formula_sum 'Ac2 Nd6 In6'
_space_group_name_H-M_alt 'P 63/m'
_space_group_IT_number 176
_space_group_name_Hall '-P 6c'
_cell_length_a 9.9346
_cell_length_b 9.9346
_cell_length_c 5.3022
_cell_angle_alpha 90.00
_cell_angle_beta 90.00
_cell_angle_gamma 120.00
loop_
_atom_site_label
_atom_site_fract_x
_atom_site_fract_y
_atom_site_fract_z
_atom_site_occupancy
Ac1 0.3333 0.6667 0.2500 1
Nd1 0.0078 0.7661 0.7500 1
In1 0.0624 0.4485 0.7500 1
```

---

This record from the Alexandria database describes Ac12NdIn6 after structural relaxation. The functional is GGA-PBE.

Summary:
formation enthalpy at 0 K: -165.8 meV per atom
E_tot: -73.65 eV/f.u.
Fermi-level density of states: 65.7 states/eV/cell

Structure (CIF):
```
data_Ac12NdIn6
_chemical_formula_sum 'Ac36 Nd3 In18'
_space_group_name_H-M_alt 'R -3'
_space_group_IT_number 148
_space_group_name_Hall '-R 3'
_cell_length_a 12.4221
_cell_length_b 12.4221
_cell_length_c 16.0200
_cell_angle_alpha 90.00
_cell_angle_beta 90.00
_cell_angle_gamma 120.00
loop_
_atom_site_label
_atom_site_fract_x
_atom_site_fract_y
_atom_site_fract_z
_atom_site_occupancy
Ac1 0.0328 0.1897 0.3118 1
Ac2 0.0606 0.8420 0.9090 1
Nd1 0.0000 0.0000 0.5000 1
In1 0.0356 0.4407 0.2079 1
```

---

This record from the Alexandria database describes Ac2NdIn after structural relaxation. The functional is GGA-PBE.

Summary:
formation enthalpy at 0 K: -76.9 meV per atom
E_tot: -16.03 eV/f.u.
Fermi-level density of states: 29.8 states/eV/cell

Structure (CIF):
```
data_Ac2NdIn
_chemical_formula_sum 'Ac8 Nd4 In4'
_space_group_name_H-M_alt 'F m -3 m'
_space_group_IT_number 225
_space_group_name_Hall '-F 4 2 3'
_cell_length_a 8.3620
_cell_length_b 8.3620
_cell_length_c 8.3620
_cell_angle_alpha 90.00
_cell_angle_beta 90.00
_cell_angle_gamma 90.00
loop_
_atom_site_label
_atom_site_fract_x
_atom_site_fract_y
_atom_site_fract_z
_atom_site_occupancy
Ac1 0.2500 0.2500 0.2500 1
Nd1 0.0000 0.0000 0.0000 1
In1 0.0000 0.0000 0.5000 1
```

---

This record from the Alexandria database describes Ac2NdIn after structural relaxation. The functional is GGA-PBE.

Summary:
formation enthalpy at 0 K: -75.9 meV per atom
E_tot: -16.03 eV/f.u.
Fermi-level density of states: 11.2 states/eV/cell

Structure (CIF):
```
data_Ac2NdIn
_chemical_formula_sum 'Ac4 Nd2 In2'
_space_group_name_H-M_alt 'P 1 21/m 1'
_space_group_IT_number 11
_space_group_name_Hall '-P 2yb'
_cell_length_a 5.1683
_cell_length_b 5.0582
_cell_length_c 11.9989
_cell_angle_alpha 90.00
_cell_angle_beta 102.15
_cell_angle_gamma 90.00
loop_
_atom_site_label
_atom_site_fract_x
_atom_site_fract_y
_atom_site_fract_z
_atom_site_occupancy
Ac1 0.0619 0.2500 0.1273 1
Ac2 0.4288 0.2500 0.8534 1
Nd1 0.3053 0.7500 0.6053 1
In1 0.1644 0.7500 0.3372 1
```